1.
Density functional theory data (PBE-GGA) for crystalline CoNi2Pt5 at its relaxed geometry.

Results
E_form: 0.05 eV/atom
Calculated density: 15.9 g/cm3
Energy above the most stable polymorph in this dataset: 0 meV/atom

Cell lengths 3.756, 5.992, 11.292 Å; angles 90.00, 90.00, 108.26 degrees
Site moments in Bohr magnetons follow the coordinates.
Fractional coordinates of all 16 atoms:
Ni (0.753, 0.507, 0.088)  0.75
Pt (0.909, 0.818, 0.581)  0.27
Pt (0.591, 0.182, 0.903)  0.34
Ni (0.247, 0.493, 0.588)  0.75
Pt (0.091, 0.182, 0.081)  0.27
Pt (0.591, 0.182, 0.597)  0.34
Pt (0.408, 0.817, 0.750)  0.38
Pt (0.091, 0.182, 0.419)  0.27
Ni (0.753, 0.507, 0.412)  0.75
Co (0.750, 0.500, 0.750)  2.09
Co (0.250, 0.500, 0.250)  2.09
Ni (0.247, 0.493, 0.912)  0.75
Pt (0.909, 0.818, 0.919)  0.27
Pt (0.409, 0.818, 0.403)  0.34
Pt (0.592, 0.183, 0.250)  0.38
Pt (0.409, 0.818, 0.097)  0.34


2.
Density functional theory data (PBE-GGA) for crystalline BaAl2Ag2 at its relaxed geometry.

Results
E_form: 0.03 eV/atom
Calculated density: 6.0 g/cm3

Cell lengths 8.579, 8.579, 3.052 Å; angles 90.00, 90.00, 90.00 degrees
Fractional coordinates of all 10 atoms:
Ag (0.869, 0.631, 0.000)
Ba (0.000, 0.000, 0.000)
Ag (0.631, 0.131, 0.000)
Ba (0.500, 0.500, 0.000)
Ag (0.369, 0.869, 0.000)
Al (0.651, 0.849, 0.500)
Ag (0.131, 0.369, 0.000)
Al (0.151, 0.651, 0.500)
Al (0.849, 0.349, 0.500)
Al (0.349, 0.151, 0.500)


3.
Density functional theory data (PBE-GGA) for crystalline Mn2CdPb at its relaxed geometry.

Results
E_form: 0.42 eV/atom
Calculated density: 9.1 g/cm3

Cell lengths 4.896, 3.150, 5.102 Å; angles 90.00, 90.00, 90.00 degrees
Site moments in Bohr magnetons follow the coordinates.
Fractional coordinates of all 4 atoms:
Pb (0.000, 0.625, 0.433)  -0.05
Mn (0.500, 0.125, 0.295)  3.67
Cd (0.500, 0.625, 0.828)  -0.04
Mn (0.000, 0.125, 0.945)  3.68


4.
Density functional theory data (PBE-GGA) for crystalline PuFe4Ni at its relaxed geometry.

Results
E_form: 0.07 eV/atom
Calculated density: 10.4 g/cm3

Cell lengths 4.910, 4.910, 4.910 Å; angles 60.00, 60.00, 60.00 degrees
Site moments in Bohr magnetons follow the coordinates.
Fractional coordinates of all 6 atoms:
Pu (0.250, 0.250, 0.250)  -4.89
Fe (0.626, 0.626, 0.122)  2.39
Fe (0.626, 0.626, 0.626)  2.39
Fe (0.122, 0.626, 0.626)  2.39
Ni (0.000, 0.000, 0.000)  0.82
Fe (0.626, 0.122, 0.626)  2.39


5.
Density functional theory data (PBE-GGA) for crystalline AcCePO2 at its relaxed geometry.

Results
Formation energy without anion corrections: -2666 meV per atom
Calculated density: 7.2 g/cm3

Cell lengths 4.086, 6.555, 7.836 Å; angles 90.00, 90.00, 108.16 degrees
Fractional coordinates of all 10 atoms:
O (0.833, 0.666, 0.060)
Ac (0.730, 0.461, 0.750)
Ce (0.000, 0.000, 0.000)
P (0.458, 0.916, 0.750)
O (0.833, 0.666, 0.440)
O (0.167, 0.334, 0.560)
Ac (0.270, 0.539, 0.250)
Ce (0.000, 0.000, 0.500)
O (0.167, 0.334, 0.940)
P (0.542, 0.084, 0.250)


6.
Density functional theory data (PBE-GGA) for crystalline Sr3Sn7Pd4 at its relaxed geometry.

Results
E_form: -0.64 eV/atom
Calculated density: 7.3 g/cm3

Cell lengths 4.681, 8.991, 9.163 Å; angles 69.75, 75.20, 74.91 degrees
Fractional coordinates of all 14 atoms:
Sn (0.318, 0.821, 0.542)
Sr (0.000, 0.500, 0.500)
Sn (0.501, 0.221, 0.777)
Sn (0.499, 0.779, 0.223)
Pd (0.658, 0.466, 0.217)
Sn (0.000, 0.000, 0.000)
Sr (0.685, 0.819, 0.811)
Pd (0.127, 0.101, 0.645)
Pd (0.873, 0.899, 0.355)
Sn (0.682, 0.179, 0.458)
Sn (0.163, 0.598, 0.075)
Sn (0.837, 0.402, 0.925)
Sr (0.315, 0.181, 0.189)
Pd (0.342, 0.534, 0.783)


7.
Density functional theory data (PBE-GGA) for crystalline Tc2MoRu at its relaxed geometry.

Results
E_form: 0.11 eV/atom
Calculated density: 11.0 g/cm3
Energy above the most stable polymorph in this dataset: 95 meV/atom

Cell lengths 3.867, 2.759, 6.191 Å; angles 63.59, 90.00, 90.00 degrees
Fractional coordinates of all 4 atoms:
Tc (0.000, 0.009, 0.992)
Tc (0.000, 0.491, 0.508)
Mo (0.500, 0.250, 0.250)
Ru (0.500, 0.750, 0.750)


8.
Density functional theory data (PBE-GGA) for crystalline LaHg2Mo at its relaxed geometry.

Results
E_form: 0.29 eV/atom
Calculated density: 11.5 g/cm3
Energy above the most stable polymorph in this dataset: 49 meV/atom

Cell lengths 4.447, 4.447, 4.664 Å; angles 90.00, 90.00, 90.00 degrees
Site moments in Bohr magnetons follow the coordinates.
Fractional coordinates of all 4 atoms:
Hg (0.500, 0.500, 0.000)  -0.02
Hg (0.000, 0.000, 0.000)  -0.02
La (0.500, 0.000, 0.500)  0.00
Mo (0.000, 0.500, 0.500)  1.06